Material: CsK2Tl
Method: DFT, PBE
State: relaxed

- total magnetization (μB per cell) = 0.00
- SG = P2_1/c (14)
- E above lowest polymorph (kJ/mol of atoms) = 0.0

```
data_CsK2Tl
_chemical_formula_sum 'Cs4 K8 Tl4'
_cell_length_a 8.741
_cell_length_b 11.645
_cell_length_c 11.666
_cell_angle_alpha 120.33
_cell_angle_beta 90.00
_cell_angle_gamma 90.00
_space_group_name_H-M_alt 'P 1'
_space_group_IT_number 1
_space_group_name_Hall 'P 1'
loop_
_atom_site_label
_atom_site_type_symbol
_atom_site_fract_x
_atom_site_fract_y
_atom_site_fract_z
Tl1 Tl 0.366 0.548 0.596
Cs1 Cs 0.503 0.821 0.507
Cs2 Cs 0.497 0.179 0.493
Tl2 Tl 0.134 0.048 0.596
Cs3 Cs 0.997 0.321 0.507
K1 K 0.757 0.074 0.141
K2 K 0.257 0.426 0.859
Tl3 Tl 0.866 0.952 0.404
K3 K 0.686 0.663 0.820
K4 K 0.314 0.337 0.180
K5 K 0.743 0.574 0.141
Cs4 Cs 0.003 0.679 0.493
Tl4 Tl 0.634 0.452 0.404
K6 K 0.186 0.837 0.180
K7 K 0.243 0.926 0.859
K8 K 0.814 0.163 0.820
```

Material: Cs3K8Tl2
Method: DFT, PBE
State: relaxed

- total magnetization (μB per cell) = 0.00
- SG = P2/m (10)
- E (eV per atom) = -1.24

```
data_Cs3K8Tl2
_chemical_formula_sum 'Cs3 K8 Tl2'
_cell_length_a 6.865
_cell_length_b 9.622
_cell_length_c 14.024
_cell_angle_alpha 78.60
_cell_angle_beta 90.01
_cell_angle_gamma 90.00
_space_group_name_H-M_alt 'P 1'
_space_group_IT_number 1
_space_group_name_Hall 'P 1'
loop_
_atom_site_label
_atom_site_type_symbol
_atom_site_fract_x
_atom_site_fract_y
_atom_site_fract_z
K1 K 0.000 0.788 0.274
K2 K 0.500 0.958 0.645
Cs1 Cs 0.500 0.000 0.000
K3 K 0.500 0.042 0.355
K4 K 0.000 0.212 0.726
Cs2 Cs 0.000 0.285 0.098
Cs3 Cs 0.000 0.715 0.902
K5 K 0.000 0.690 0.567
Tl1 Tl 0.500 0.661 0.474
K6 K 0.000 0.310 0.433
Tl2 Tl 0.500 0.339 0.526
K7 K 0.500 0.473 0.754
K8 K 0.500 0.527 0.246
```

Material: CsK2Tl
Method: DFT, PBE
State: relaxed

- total magnetization (μB per cell) = 1.31
- SG = Fm-3m (225)
- E above lowest polymorph (kJ/mol of atoms) = 4.1

```
data_CsK2Tl
_chemical_formula_sum 'Cs1 K2 Tl1'
_cell_length_a 6.713
_cell_length_b 6.713
_cell_length_c 6.713
_cell_angle_alpha 60.00
_cell_angle_beta 60.00
_cell_angle_gamma 60.00
_space_group_name_H-M_alt 'P 1'
_space_group_IT_number 1
_space_group_name_Hall 'P 1'
loop_
_atom_site_label
_atom_site_type_symbol
_atom_site_fract_x
_atom_site_fract_y
_atom_site_fract_z
Tl1 Tl 0.500 0.500 0.500
K1 K 0.750 0.750 0.750
Cs1 Cs 0.000 0.000 0.000
K2 K 0.250 0.250 0.250
```

Material: Cs2KTl3
Method: DFT, PBE
State: relaxed

- total magnetization (μB per cell) = 0.00
- SG = C2/m (12)
- E (eV per atom) = -1.69

```
data_Cs2KTl3
_chemical_formula_sum 'Cs2 K1 Tl3'
_cell_length_a 6.996
_cell_length_b 6.996
_cell_length_c 7.519
_cell_angle_alpha 90.09
_cell_angle_beta 117.79
_cell_angle_gamma 119.82
_space_group_name_H-M_alt 'P 1'
_space_group_IT_number 1
_space_group_name_Hall 'P 1'
loop_
_atom_site_label
_atom_site_type_symbol
_atom_site_fract_x
_atom_site_fract_y
_atom_site_fract_z
Tl1 Tl 0.000 0.000 0.500
K1 K 0.000 0.000 0.000
Cs1 Cs 0.226 0.613 0.838
Tl2 Tl 0.500 0.500 0.500
Tl3 Tl 0.500 0.000 0.500
Cs2 Cs 0.774 0.387 0.162
```